Record 1
FeCuReSb: relaxed, GGA-PBE.

```
16
Lattice="6.217 0.000 0.000 0.000 6.217 0.000 0.000 0.000 6.217" Properties=species:S:1:pos:R:3 pbc="T T T"
Fe 0.000 0.000 0.000
Fe 0.000 3.109 3.109
Fe 3.109 0.000 3.109
Fe 3.109 3.109 0.000
Cu 1.554 1.554 4.663
Cu 1.554 4.663 1.554
Cu 4.663 1.554 1.554
Cu 4.663 4.663 4.663
Re 1.554 1.554 1.554
Re 1.554 4.663 4.663
Re 4.663 1.554 4.663
Re 4.663 4.663 1.554
Sb 0.000 0.000 3.109
Sb 0.000 3.109 0.000
Sb 3.109 0.000 0.000
Sb 3.109 3.109 3.109
```

Calculated values
- Total DFT energy (no corrections): -6.698 eV per atom
- Total magnetic moment: 0.69 μB/atom

***

Record 2
FeCuReSn: relaxed, GGA-PBE.

```
16
Lattice="6.218 0.000 0.000 0.000 6.218 0.000 0.000 0.000 6.218" Properties=species:S:1:pos:R:3 pbc="T T T"
Fe 0.000 0.000 0.000
Fe 0.000 3.109 3.109
Fe 3.109 0.000 3.109
Fe 3.109 3.109 0.000
Cu 1.554 1.554 4.663
Cu 1.554 4.663 1.554
Cu 4.663 1.554 1.554
Cu 4.663 4.663 4.663
Re 1.554 1.554 1.554
Re 1.554 4.663 4.663
Re 4.663 1.554 4.663
Re 4.663 4.663 1.554
Sn 0.000 0.000 3.109
Sn 0.000 3.109 0.000
Sn 3.109 0.000 0.000
Sn 3.109 3.109 3.109
```

Calculated values
- Total DFT energy (no corrections): -6.687 eV per atom
- Total magnetic moment: 0.78 μB/atom

***

Record 3
SrFeCuRe: relaxed, GGA-PBE.

```
16
Lattice="6.523 0.000 0.000 0.000 6.523 0.000 0.000 0.000 6.523" Properties=species:S:1:pos:R:3 pbc="T T T"
Sr 0.000 0.000 0.000
Sr 0.000 3.262 3.262
Sr 3.262 0.000 3.262
Sr 3.262 3.262 0.000
Fe 1.631 1.631 1.631
Fe 1.631 4.892 4.892
Fe 4.892 1.631 4.892
Fe 4.892 4.892 1.631
Cu 0.000 0.000 3.262
Cu 0.000 3.262 0.000
Cu 3.262 0.000 0.000
Cu 3.262 3.262 3.262
Re 1.631 1.631 4.892
Re 1.631 4.892 1.631
Re 4.892 1.631 1.631
Re 4.892 4.892 4.892
```

Calculated values
- Total DFT energy (no corrections): -5.189 eV per atom
- Total magnetic moment: 1.08 μB/atom

***

Record 4
SrFeCuRe: relaxed, GGA-PBE.

```
16
Lattice="6.380 0.000 0.000 0.000 6.380 0.000 0.000 0.000 6.380" Properties=species:S:1:pos:R:3 pbc="T T T"
Sr 0.000 0.000 0.000
Sr 0.000 3.190 3.190
Sr 3.190 0.000 3.190
Sr 3.190 3.190 0.000
Fe 0.000 0.000 3.190
Fe 0.000 3.190 0.000
Fe 3.190 0.000 0.000
Fe 3.190 3.190 3.190
Cu 1.595 1.595 1.595
Cu 1.595 4.785 4.785
Cu 4.785 1.595 4.785
Cu 4.785 4.785 1.595
Re 1.595 1.595 4.785
Re 1.595 4.785 1.595
Re 4.785 1.595 1.595
Re 4.785 4.785 4.785
```

Calculated values
- Total DFT energy (no corrections): -5.429 eV per atom
- Total magnetic moment: 0.01 μB/atom

***

Record 5
SrFeCuRe: relaxed, GGA-PBE.

```
16
Lattice="6.522 0.000 0.000 0.000 6.522 0.000 0.000 0.000 6.522" Properties=species:S:1:pos:R:3 pbc="T T T"
Sr 0.000 0.000 0.000
Sr 0.000 3.261 3.261
Sr 3.261 0.000 3.261
Sr 3.261 3.261 0.000
Fe 1.631 1.631 4.892
Fe 1.631 4.892 1.631
Fe 4.892 1.631 1.631
Fe 4.892 4.892 4.892
Cu 1.631 1.631 1.631
Cu 1.631 4.892 4.892
Cu 4.892 1.631 4.892
Cu 4.892 4.892 1.631
Re 0.000 0.000 3.261
Re 0.000 3.261 0.000
Re 3.261 0.000 0.000
Re 3.261 3.261 3.261
```

Calculated values
- Total DFT energy (no corrections): -5.576 eV per atom
- Total magnetic moment: 0.71 μB/atom

***

Record 6
ZnFeCuRe: relaxed, GGA-PBE.

```
16
Lattice="5.861 0.000 0.000 0.000 5.861 0.000 0.000 0.000 5.861" Properties=species:S:1:pos:R:3 pbc="T T T"
Zn 0.000 0.000 0.000
Zn 0.000 2.930 2.930
Zn 2.930 0.000 2.930
Zn 2.930 2.930 0.000
Fe 1.465 1.465 1.465
Fe 1.465 4.395 4.395
Fe 4.395 1.465 4.395
Fe 4.395 4.395 1.465
Cu 0.000 0.000 2.930
Cu 0.000 2.930 0.000
Cu 2.930 0.000 0.000
Cu 2.930 2.930 2.930
Re 1.465 1.465 4.395
Re 1.465 4.395 1.465
Re 4.395 1.465 1.465
Re 4.395 4.395 4.395
```

Calculated values
- E_form: 48 kJ/mol of atoms
- Total DFT energy (no corrections): -5.929 eV per atom
- Total magnetic moment: 0.63 μB/atom

***

Record 7
ZnFeCuRe: relaxed, GGA-PBE.

```
16
Lattice="5.860 0.000 0.000 0.000 5.860 0.000 0.000 0.000 5.860" Properties=species:S:1:pos:R:3 pbc="T T T"
Zn 0.000 0.000 0.000
Zn 0.000 2.930 2.930
Zn 2.930 0.000 2.930
Zn 2.930 2.930 0.000
Fe 1.465 1.465 4.395
Fe 1.465 4.395 1.465
Fe 4.395 1.465 1.465
Fe 4.395 4.395 4.395
Cu 1.465 1.465 1.465
Cu 1.465 4.395 4.395
Cu 4.395 1.465 4.395
Cu 4.395 4.395 1.465
Re 0.000 0.000 2.930
Re 0.000 2.930 0.000
Re 2.930 0.000 0.000
Re 2.930 2.930 2.930
```

Calculated values
- E_form: 25 kJ/mol of atoms
- Total DFT energy (no corrections): -6.166 eV per atom
- Total magnetic moment: 0.00 μB/atom

***

Record 8
FeCu2S2: relaxed, GGA-PBE.

```
20
Lattice="0.000 5.392 5.392 5.392 0.000 5.392 5.392 5.392 0.000" Properties=species:S:1:pos:R:3 pbc="T T T"
Fe 1.319 1.319 1.319
Fe 4.073 4.073 1.319
Fe 4.073 1.319 4.073
Fe 1.319 4.073 4.073
Cu 4.104 4.104 4.104
Cu 6.681 6.681 4.104
Cu 6.681 4.104 6.681
Cu 9.290 6.887 6.887
Cu 4.104 6.681 6.681
Cu 6.887 9.290 6.887
Cu 6.887 6.887 9.290
Cu 9.290 9.290 9.290
S 0.000 0.000 0.000
S 2.696 2.696 0.053
S 2.696 0.053 2.696
S 5.340 2.696 2.696
S 0.053 2.696 2.696
S 2.696 5.340 2.696
S 2.696 2.696 5.340
S 5.392 5.392 5.392
```

Calculated values
- Total DFT energy (no corrections): -4.941 eV per atom
- Total magnetic moment: 0.68 μB/atom

***

Record 9
Fe2CuS3: relaxed, GGA-PBE.

```
24
Lattice="6.187 0.000 0.000 0.000 10.539 0.000 0.000 0.000 6.041" Properties=species:S:1:pos:R:3 pbc="T T T"
Fe 0.781 0.889 0.493
Fe 0.781 4.381 0.493
Fe 2.312 6.158 3.514
Fe 2.312 9.650 3.514
Fe 3.875 0.889 2.528
Fe 3.875 4.381 2.528
Fe 5.406 6.158 5.548
Fe 5.406 9.650 5.548
Cu 0.758 2.635 3.497
Cu 2.336 7.904 0.476
Cu 3.851 2.635 5.565
Cu 5.429 7.904 2.544
S 1.368 6.102 5.425
S 1.368 9.706 5.425
S 1.515 7.904 2.589
S 1.579 2.635 5.610
S 1.725 0.833 2.404
S 1.725 4.437 2.404
S 4.462 6.102 3.637
S 4.462 9.706 3.637
S 4.608 7.904 0.432
S 4.672 2.635 3.452
S 4.819 0.833 0.616
S 4.819 4.437 0.616
```

Calculated values
- Total DFT energy (no corrections): -5.738 eV per atom
- Total magnetic moment: 0.11 μB/atom

***

Record 10
FeCu2S2: relaxed, GGA-PBE.

```
20
Lattice="0.000 5.381 5.381 5.381 0.000 5.381 5.381 5.381 0.000" Properties=species:S:1:pos:R:3 pbc="T T T"
Fe 4.053 4.053 4.053
Fe 6.709 6.709 4.053
Fe 6.709 4.053 6.709
Fe 4.053 6.709 6.709
Cu 6.815 3.947 3.947
Cu 9.472 6.672 6.672
Cu 3.947 6.815 3.947
Cu 3.947 3.947 6.815
Cu 6.815 6.815 6.815
Cu 6.672 9.472 6.672
Cu 6.672 6.672 9.472
Cu 9.472 9.472 9.472
S 0.000 0.000 0.000
S 2.691 2.691 0.101
S 2.691 0.101 2.691
S 5.280 2.691 2.691
S 0.101 2.691 2.691
S 2.691 5.280 2.691
S 2.691 2.691 5.280
S 5.381 5.381 5.381
```

Calculated values
- Total DFT energy (no corrections): -4.902 eV per atom
- Total magnetic moment: 0.67 μB/atom

***

Record 11
Fe4Cu2S7: relaxed, GGA-PBE.

```
26
Lattice="5.103 0.000 0.000 0.000 8.220 0.000 0.000 0.000 11.230" Properties=species:S:1:pos:R:3 pbc="T T T"
Fe 0.003 1.260 2.499
Fe 0.003 6.960 2.499
Fe 2.548 1.260 2.499
Fe 2.548 6.960 2.499
Fe 2.554 1.260 8.731
Fe 2.554 6.960 8.731
Fe 5.100 1.260 8.731
Fe 5.100 6.960 8.731
Cu 0.049 4.110 8.290
Cu 2.502 4.110 8.290
Cu 2.601 4.110 2.940
Cu 5.054 4.110 2.940
S 1.276 0.000 1.254
S 1.276 0.000 7.493
S 1.276 2.352 3.792
S 1.276 2.525 9.859
S 1.276 4.110 6.261
S 1.276 5.695 9.859
S 1.276 5.868 3.792
S 3.827 0.000 3.736
S 3.827 0.000 9.976
S 3.827 2.352 7.438
S 3.827 2.525 1.371
S 3.827 4.110 4.969
S 3.827 5.695 1.371
S 3.827 5.868 7.438
```

Calculated values
- Total DFT energy (no corrections): -5.564 eV per atom
- Total magnetic moment: 0.00 μB/atom

***

Record 12
FeCu2SiS4: relaxed, GGA-PBE.

```
16
Lattice="7.377 0.000 0.000 0.000 6.375 0.000 0.000 0.000 6.118" Properties=species:S:1:pos:R:3 pbc="T T T"
Fe 0.000 0.987 0.000
Fe 3.688 5.389 3.059
Cu 1.825 2.078 3.124
Cu 1.863 4.298 0.065
Cu 5.514 4.298 0.065
Cu 5.551 2.078 3.124
Si 0.000 5.280 3.066
Si 3.688 1.095 0.007
S 0.000 0.929 2.321
S 0.000 5.258 5.234
S 1.774 4.259 2.357
S 1.915 2.116 5.416
S 3.688 1.117 2.175
S 3.688 5.446 5.380
S 5.462 2.116 5.416
S 5.603 4.259 2.357
```

Calculated values
- Total DFT energy (no corrections): -5.130 eV per atom
- Total magnetic moment: 0.50 μB/atom

***

Record 13
TlFeCuTeS2: relaxed, GGA-PBE.

```
12
Lattice="1.716 -7.670 0.000 1.716 7.670 0.000 0.000 0.000 9.856" Properties=species:S:1:pos:R:3 pbc="T T T"
Tl 1.716 4.221 7.392
Tl 1.716 -4.221 2.464
Fe 0.000 0.000 0.000
Fe 0.000 0.000 4.928
Cu 1.716 0.862 2.464
Cu 1.716 -0.862 7.392
Te 1.716 6.517 2.464
Te 1.716 -6.517 7.392
S 1.716 1.512 0.330
S 1.716 1.512 4.598
S 1.716 -1.512 5.258
S 1.716 -1.512 9.527
```

Calculated values
- Total DFT energy (no corrections): -4.470 eV per atom
- Total magnetic moment: 0.22 μB/atom

***

Record 14
TlFeCuTe2S: relaxed, GGA-PBE.

```
12
Lattice="1.859 -7.745 0.000 1.859 7.745 0.000 0.000 0.000 9.673" Properties=species:S:1:pos:R:3 pbc="T T T"
Tl 1.859 4.003 7.255
Tl 1.859 -4.003 2.418
Fe 1.859 0.000 0.000
Fe 1.859 0.000 4.836
Cu 1.859 7.365 2.418
Cu 1.859 -7.365 7.255
Te 1.859 5.804 0.378
Te 1.859 5.804 4.459
Te 1.859 -5.804 5.214
Te 1.859 -5.804 9.295
S 1.859 0.882 2.418
S 1.859 -0.882 7.255
```

Calculated values
- Total DFT energy (no corrections): -4.204 eV per atom
- Total magnetic moment: 0.50 μB/atom

***

Record 15
ScFeCuSb: relaxed, GGA-PBE.

```
16
Lattice="6.276 0.000 0.000 0.000 6.276 0.000 0.000 0.000 6.276" Properties=species:S:1:pos:R:3 pbc="T T T"
Sc 0.000 0.000 0.000
Sc 0.000 3.138 3.138
Sc 3.138 0.000 3.138
Sc 3.138 3.138 0.000
Fe 1.569 1.569 1.569
Fe 1.569 4.707 4.707
Fe 4.707 1.569 4.707
Fe 4.707 4.707 1.569
Cu 1.569 1.569 4.707
Cu 1.569 4.707 1.569
Cu 4.707 1.569 1.569
Cu 4.707 4.707 4.707
Sb 0.000 0.000 3.138
Sb 0.000 3.138 0.000
Sb 3.138 0.000 0.000
Sb 3.138 3.138 3.138
```

Calculated values
- Total DFT energy (no corrections): -5.769 eV per atom
- Total magnetic moment: 0.28 μB/atom

***

Record 16
ScFeCuSb: relaxed, GGA-PBE.

```
16
Lattice="6.325 0.000 0.000 0.000 6.325 0.000 0.000 0.000 6.325" Properties=species:S:1:pos:R:3 pbc="T T T"
Sc 0.000 0.000 0.000
Sc 0.000 3.163 3.163
Sc 3.163 0.000 3.163
Sc 3.163 3.163 0.000
Fe 0.000 0.000 3.163
Fe 0.000 3.163 0.000
Fe 3.163 0.000 0.000
Fe 3.163 3.163 3.163
Cu 1.581 1.581 4.744
Cu 1.581 4.744 1.581
Cu 4.744 1.581 1.581
Cu 4.744 4.744 4.744
Sb 1.581 1.581 1.581
Sb 1.581 4.744 4.744
Sb 4.744 1.581 4.744
Sb 4.744 4.744 1.581
```

Calculated values
- Total DFT energy (no corrections): -5.688 eV per atom
- Total magnetic moment: 0.46 μB/atom

***

Record 17
ScFeCuSb: relaxed, GGA-PBE.

```
16
Lattice="6.381 0.000 0.000 0.000 6.381 0.000 0.000 0.000 6.381" Properties=species:S:1:pos:R:3 pbc="T T T"
Sc 0.000 0.000 0.000
Sc 0.000 3.191 3.191
Sc 3.191 0.000 3.191
Sc 3.191 3.191 0.000
Fe 1.595 1.595 4.786
Fe 1.595 4.786 1.595
Fe 4.786 1.595 1.595
Fe 4.786 4.786 4.786
Cu 0.000 0.000 3.191
Cu 0.000 3.191 0.000
Cu 3.191 0.000 0.000
Cu 3.191 3.191 3.191
Sb 1.595 1.595 1.595
Sb 1.595 4.786 4.786
Sb 4.786 1.595 4.786
Sb 4.786 4.786 1.595
```

Calculated values
- Total DFT energy (no corrections): -5.557 eV per atom
- Total magnetic moment: 0.47 μB/atom

***

Record 18
FeCuSnSb: relaxed, GGA-PBE.

```
16
Lattice="6.643 0.000 0.000 0.000 6.643 0.000 0.000 0.000 6.643" Properties=species:S:1:pos:R:3 pbc="T T T"
Fe 0.000 0.000 0.000
Fe 0.000 3.321 3.321
Fe 3.321 0.000 3.321
Fe 3.321 3.321 0.000
Cu 0.000 0.000 3.321
Cu 0.000 3.321 0.000
Cu 3.321 0.000 0.000
Cu 3.321 3.321 3.321
Sn 1.661 1.661 4.982
Sn 1.661 4.982 1.661
Sn 4.982 1.661 1.661
Sn 4.982 4.982 4.982
Sb 1.661 1.661 1.661
Sb 1.661 4.982 4.982
Sb 4.982 1.661 4.982
Sb 4.982 4.982 1.661
```

Calculated values
- Total DFT energy (no corrections): -4.677 eV per atom
- Total magnetic moment: 0.52 μB/atom

***

Record 19
FeCuSbW: relaxed, GGA-PBE.

```
16
Lattice="6.285 0.000 0.000 0.000 6.285 0.000 0.000 0.000 6.285" Properties=species:S:1:pos:R:3 pbc="T T T"
Fe 0.000 0.000 0.000
Fe 0.000 3.142 3.142
Fe 3.142 0.000 3.142
Fe 3.142 3.142 0.000
Cu 1.571 1.571 4.714
Cu 1.571 4.714 1.571
Cu 4.714 1.571 1.571
Cu 4.714 4.714 4.714
Sb 0.000 0.000 3.142
Sb 0.000 3.142 0.000
Sb 3.142 0.000 0.000
Sb 3.142 3.142 3.142
W 1.571 1.571 1.571
W 1.571 4.714 4.714
W 4.714 1.571 4.714
W 4.714 4.714 1.571
```

Calculated values
- Total DFT energy (no corrections): -6.743 eV per atom
- Total magnetic moment: 0.51 μB/atom

***

Record 20
FeCuSbW: relaxed, GGA-PBE.

```
16
Lattice="6.238 0.000 0.000 0.000 6.238 0.000 0.000 0.000 6.238" Properties=species:S:1:pos:R:3 pbc="T T T"
Fe 0.000 0.000 0.000
Fe 0.000 3.119 3.119
Fe 3.119 0.000 3.119
Fe 3.119 3.119 0.000
Cu 1.559 1.559 1.559
Cu 1.559 4.678 4.678
Cu 4.678 1.559 4.678
Cu 4.678 4.678 1.559
Sb 1.559 1.559 4.678
Sb 1.559 4.678 1.559
Sb 4.678 1.559 1.559
Sb 4.678 4.678 4.678
W 0.000 0.000 3.119
W 0.000 3.119 0.000
W 3.119 0.000 0.000
W 3.119 3.119 3.119
```

Calculated values
- Total DFT energy (no corrections): -6.718 eV per atom
- Total magnetic moment: 0.57 μB/atom